Pm2PrRh: optimized geometry, PBE-GGA.

The structure in CIF format:
```
data_Pm2PrRh
_space_group_name_H-M_alt 'R -3 m'
_space_group_IT_number 166
_space_group_name_Hall '-R 3 2"'
_cell_length_a 3.7970
_cell_length_b 3.7970
_cell_length_c 31.9859
_cell_angle_alpha 90.00
_cell_angle_beta 90.00
_cell_angle_gamma 120.00
loop_
_atom_site_label
_atom_site_type_symbol
_atom_site_fract_x
_atom_site_fract_y
_atom_site_fract_z
Pm1 Pm 0.0000 0.0000 0.1124
Pr1 Pr 0.0000 0.0000 0.0000
Rh1 Rh 0.0000 0.0000 0.5000
```

## Properties
Total magnetization in μB/cell: 2.455
ΔE to the lowest computed polymorph in meV per atom: 295
Final energy in eV/atom: -5.54
Formation enthalpy at 0 K in meV/atom: -136